A relaxed structure of Ac2NiAgO5. Source: Alexandria, functional PBE+U.

As for the density: 7.996 g/cm3. The value obtained for the raw total energy is -6.1665 eV per atom. The calculation puts the total magnetization at 1.03 μB/f.u.

It has space group P4/mbm (No. 127), with a = 7.2199 Å, b = 7.2199 Å, c = 5.5817 Å, α = 90.00°, β = 90.00° and γ = 90.00°. Symmetry generates all atoms from Ac at (0.1815, 0.3185, 0.0000), Ni at (0.0000, 0.5000, 0.5000), Ag at (0.0000, 0.0000, 0.5000), O at (0.0000, 0.0000, 0.0000) and O at (0.1245, 0.6245, 0.2629).